Record 1
BaMgSe2: optimized geometry, PBEsol.

a b c (Å): 4.297 4.297 12.004
angles (deg): 90.00 90.00 90.00
Space group I-4m2 (No. 119)
Unique sites:
1 Ba 0.000 0.000 0.000 (multiplicity 2)
2 Mg 0.000 0.500 0.250 (multiplicity 2)
3 Se 0.000 0.000 0.500 (multiplicity 2)
4 Se 0.000 0.500 0.750 (multiplicity 2)

Calculated values
N(E_F) = 0.26 states/eV per atom
ΔE_f (raw) = -1.03 eV per atom

Record 2
BaMgSe: optimized geometry, PBEsol.

a b c (Å): 7.639 7.639 7.639
angles (deg): 90.00 90.00 90.00
Space group F-43m (No. 216)
Unique sites:
1 Ba 0.000 0.000 0.000 (multiplicity 4)
2 Mg 0.250 0.250 0.750 (multiplicity 4)
3 Se 0.250 0.250 0.250 (multiplicity 4)

Calculated values
ΔE_f (raw) = -0.59 eV per atom

Record 3
BaMgSi: optimized geometry, PBEsol.

a b c (Å): 8.167 4.773 8.296
angles (deg): 90.00 90.00 90.00
Space group Pnma (No. 62)
Unique sites:
1 Ba 0.012 0.250 0.179 (multiplicity 4)
2 Mg 0.146 0.250 0.571 (multiplicity 4)
3 Si 0.200 0.750 0.391 (multiplicity 4)

Calculated values
N(E_F) = 0.05 states/eV per atom
ΔE_f (raw) = -0.37 eV per atom

Record 4
Ba2MgSi: optimized geometry, PBEsol.

a b c (Å): 3.757 4.376 8.345
angles (deg): 90.00 90.00 90.00
Space group Pmmm (No. 47)
Unique sites:
1 Ba 0.000 0.000 0.210 (multiplicity 2)
2 Mg 0.500 0.500 0.500 (multiplicity 1)
3 Si 0.500 0.500 0.000 (multiplicity 1)

Calculated values
N(E_F) = 0.67 states/eV per atom
ΔE_f (raw) = -0.12 eV per atom

Record 5
BaMgSi: optimized geometry, PBEsol.

a b c (Å): 7.039 7.039 7.039
angles (deg): 90.00 90.00 90.00
Space group F-43m (No. 216)
Unique sites:
1 Ba 0.000 0.000 0.000 (multiplicity 4)
2 Mg 0.250 0.250 0.750 (multiplicity 4)
3 Si 0.000 0.000 0.500 (multiplicity 4)

Calculated values
N(E_F) = 0.13 states/eV per atom
ΔE_f (raw) = 0.02 eV per atom

Record 6
Ba2Mg3Si4: optimized geometry, PBEsol.

a b c (Å): 12.040 4.577 15.548
angles (deg): 90.00 94.97 90.00
Space group C2/m (No. 12)
Unique sites:
1 Ba 0.059 0.000 0.365 (multiplicity 4)
2 Ba 0.158 0.000 0.090 (multiplicity 4)
3 Mg 0.107 0.000 0.846 (multiplicity 4)
4 Mg 0.162 0.500 0.705 (multiplicity 4)
5 Mg 0.220 0.000 0.569 (multiplicity 4)
6 Si 0.024 0.500 0.204 (multiplicity 4)
7 Si 0.061 0.500 0.943 (multiplicity 4)
8 Si 0.098 0.500 0.529 (multiplicity 4)
9 Si 0.219 0.500 0.254 (multiplicity 4)

Calculated values
N(E_F) = 0.25 states/eV per atom
ΔE_f (raw) = -0.39 eV per atom

| no. | mass density (g/cm3) |
| --- | --- |
| 1 | 4.787 |
| 2 | 3.585 |
| 3 | 3.896 |
| 4 | 3.959 |
| 5 | 3.613 |
| 6 | 3.578 |